# 1
Compound: LiAcIrPd
Source: Alexandria
Functional: PBE
Structure: optimized geometry

Geometry as POSCAR:
```
LiAcIrPd
1.0
0.000 3.463 3.463
3.463 0.000 3.463
3.463 3.463 0.000
Li Ac Ir Pd
1 1 1 1
direct
0.000 0.000 0.000
0.500 0.500 0.500
0.250 0.250 0.250
0.750 0.750 0.750
```

Properties
**SG**: F-43m, No. 216


# 2
Compound: LiAcPmIr
Source: Alexandria
Functional: PBE
Structure: optimized geometry

Geometry as POSCAR:
```
LiAcPmIr
1.0
0.000 3.687 3.687
3.687 0.000 3.687
3.687 3.687 0.000
Li Ac Pm Ir
1 1 1 1
direct
0.000 0.000 0.000
0.750 0.750 0.750
0.250 0.250 0.250
0.500 0.500 0.500
```

Properties
**SG**: F-43m, No. 216


# 3
Compound: LiAc2IrRh6
Source: Alexandria
Functional: PBE
Structure: optimized geometry

Geometry as POSCAR:
```
LiAc2IrRh6
1.0
5.342 -3.087 0.000
5.342 3.087 0.000
-3.561 0.000 5.912
Li Ac Ir Rh
1 2 1 6
direct
0.000 0.000 0.000
0.224 0.224 0.672
0.776 0.776 0.328
0.500 0.500 0.500
0.242 0.242 0.166
0.242 0.684 0.168
0.316 0.758 0.832
0.684 0.242 0.168
0.758 0.316 0.832
0.758 0.758 0.834
```

Properties
**SG**: C2/m, No. 12


# 4
Compound: LiAc2Sb4Ir3
Source: Alexandria
Functional: PBE
Structure: optimized geometry

Geometry as POSCAR:
```
LiAc2Sb4Ir3
1.0
4.699 0.000 0.000
0.000 4.699 0.000
0.000 0.000 10.543
Li Ac Sb Ir
1 2 4 3
direct
0.000 0.000 0.000
0.000 0.500 0.754
0.500 0.000 0.246
0.000 0.000 0.500
0.000 0.500 0.129
0.500 0.000 0.871
0.500 0.500 0.500
0.000 0.500 0.382
0.500 0.000 0.618
0.500 0.500 0.000
```

Properties
**SG**: P-4m2, No. 115
**Formation energy without anion corrections**: -0.713 eV/atom


# 5
Compound: LiAcSbIr
Source: Alexandria
Functional: PBE
Structure: optimized geometry

Geometry as POSCAR:
```
LiAcSbIr
1.0
0.000 3.530 3.530
3.530 0.000 3.530
3.530 3.530 0.000
Li Ac Sb Ir
1 1 1 1
direct
0.000 0.000 0.000
0.250 0.250 0.250
0.750 0.750 0.750
0.500 0.500 0.500
```

Properties
**SG**: F-43m, No. 216
**Formation energy without anion corrections**: -0.499 eV/atom


# 6
Compound: LiAc2Sb3Ir4
Source: Alexandria
Functional: PBE
Structure: optimized geometry

Geometry as POSCAR:
```
LiAc2Sb3Ir4
1.0
4.402 0.000 0.000
0.000 4.402 0.000
0.000 0.000 11.332
Li Ac Sb Ir
1 2 3 4
direct
0.000 0.000 0.000
0.000 0.500 0.762
0.500 0.000 0.238
0.000 0.500 0.368
0.500 0.000 0.632
0.500 0.500 0.000
0.000 0.000 0.500
0.000 0.500 0.138
0.500 0.000 0.862
0.500 0.500 0.500
```

Properties
**SG**: P-4m2, No. 115
**Formation energy without anion corrections**: -0.617 eV/atom


# 7
Compound: LiAcSi2Ir
Source: Alexandria
Functional: PBE
Structure: optimized geometry

Geometry as POSCAR:
```
LiAcSi2Ir
1.0
-2.151 2.151 5.117
2.151 -2.151 5.117
2.151 2.151 -5.117
Li Ac Si Ir
1 1 2 1
direct
0.000 0.000 0.000
0.750 0.250 0.500
0.121 0.621 0.500
0.379 0.879 0.500
0.500 0.500 0.000
```

Properties
**SG**: I-4m2, No. 119
**Formation energy without anion corrections**: -0.668 eV/atom


# 8
Compound: LiAcSmIr
Source: Alexandria
Functional: PBE
Structure: optimized geometry

Geometry as POSCAR:
```
LiAcSmIr
1.0
0.000 3.679 3.679
3.679 0.000 3.679
3.679 3.679 0.000
Li Ac Sm Ir
1 1 1 1
direct
0.000 0.000 0.000
0.750 0.750 0.750
0.250 0.250 0.250
0.500 0.500 0.500
```

Properties
**SG**: F-43m, No. 216


| no. | VASP energy (eV/cell) | DOS at the Fermi energy (states/eV per cell) | total moment (μB/atom) |
| --- | --- | --- | --- |
| 1 | -21.2 | 3.4 | 0.000 |
| 2 | -20.9 | 3.6 | 0.000 |
| 3 | -63.9 | 11.8 | 0.000 |
| 4 | -60.3 | 5.0 | 0.000 |
| 5 | -21.0 | 1.3 | 0.000 |
| 6 | -64.1 | 4.1 | 0.000 |
| 7 | -29.1 | 2.7 | 0.000 |
| 8 | -20.9 | 3.4 | 0.000 |